An optimized crystal structure of ScBeZnS2, computed with PBE-GGA.

CIF file:
```
data_ScBeZnS2
_chemical_formula_sum 'Sc1 Be1 Zn1 S2'
_cell_length_a 4.8527
_cell_length_b 5.2547
_cell_length_c 4.8527
_cell_angle_alpha 90.00
_cell_angle_beta 90.00
_cell_angle_gamma 90.00
_space_group_name_H-M_alt 'P 1'
_space_group_IT_number 1
loop_
_space_group_symop_operation_xyz
'x,y,z'
loop_
_atom_site_label
_atom_site_type_symbol
_atom_site_fract_x
_atom_site_fract_y
_atom_site_fract_z
Sc1 Sc 0.0000 0.0000 0.0000
S1 S 0.5000 0.0000 0.0000
S2 S 0.0000 0.0000 0.5000
Be1 Be 0.0000 0.5000 0.0000
Zn1 Zn 0.5000 0.5000 0.5000
```

Output
ΔE_f (raw) in meV/atom: 248.3
D(E_F) in states/eV/f.u.: 6.19

---

An optimized crystal structure of Be3SeS, computed with PBE-GGA.

CIF file:
```
data_Be3SeS
_chemical_formula_sum 'Be3 Se1 S1'
_cell_length_a 4.1695
_cell_length_b 4.1695
_cell_length_c 4.1695
_cell_angle_alpha 90.00
_cell_angle_beta 90.00
_cell_angle_gamma 90.00
_space_group_name_H-M_alt 'P 1'
_space_group_IT_number 1
loop_
_space_group_symop_operation_xyz
'x,y,z'
loop_
_atom_site_label
_atom_site_type_symbol
_atom_site_fract_x
_atom_site_fract_y
_atom_site_fract_z
Be1 Be 0.0000 0.0000 0.5000
Be2 Be 0.5000 0.0000 0.0000
Be3 Be 0.0000 0.5000 0.0000
S1 S 0.0000 0.0000 0.0000
Se1 Se 0.5000 0.5000 0.5000
```

Output
ΔE_f (raw) in meV/atom: 549.1
Polymorph energy (0 for the lowest one) in meV/atom: 0.0
D(E_F) in states/eV/f.u.: 3.78

---

An optimized crystal structure of Be2SeS, computed with PBE-GGA.

CIF file:
```
data_Be2SeS
_chemical_formula_sum 'Be2 Se1 S1'
_cell_length_a 4.2801
_cell_length_b 4.2801
_cell_length_c 4.2801
_cell_angle_alpha 60.00
_cell_angle_beta 60.00
_cell_angle_gamma 60.00
_space_group_name_H-M_alt 'P 1'
_space_group_IT_number 1
loop_
_space_group_symop_operation_xyz
'x,y,z'
loop_
_atom_site_label
_atom_site_type_symbol
_atom_site_fract_x
_atom_site_fract_y
_atom_site_fract_z
S1 S 0.0000 0.0000 0.0000
Se1 Se 0.5000 0.5000 0.5000
Be1 Be 0.7500 0.7500 0.7500
Be2 Be 0.2500 0.2500 0.2500
```

Output
ΔE_f (raw) in meV/atom: 510.3
Polymorph energy (0 for the lowest one) in meV/atom: 1436.0
D(E_F) in states/eV/f.u.: 2.11

---

An optimized crystal structure of BeSeS2, computed with PBE-GGA.

CIF file:
```
data_BeSeS2
_chemical_formula_sum 'Be1 Se1 S2'
_cell_length_a 7.3906
_cell_length_b 7.3906
_cell_length_c 7.3906
_cell_angle_alpha 26.20
_cell_angle_beta 26.20
_cell_angle_gamma 26.20
_space_group_name_H-M_alt 'P 1'
_space_group_IT_number 1
loop_
_space_group_symop_operation_xyz
'x,y,z'
loop_
_atom_site_label
_atom_site_type_symbol
_atom_site_fract_x
_atom_site_fract_y
_atom_site_fract_z
S1 S 0.8888 0.8888 0.8888
S2 S 0.1112 0.1112 0.1112
Be1 Be 0.5000 0.5000 0.5000
Se1 Se 0.0000 0.0000 0.0000
```

Output
ΔE_f (raw) in meV/atom: -81.9
Polymorph energy (0 for the lowest one) in meV/atom: 0.0
D(E_F) in states/eV/f.u.: 2.33

---

An optimized crystal structure of BeSeS2, computed with PBE-GGA.

CIF file:
```
data_BeSeS2
_chemical_formula_sum 'Be2 Se2 S4'
_cell_length_a 5.9462
_cell_length_b 5.9462
_cell_length_c 5.8944
_cell_angle_alpha 59.71
_cell_angle_beta 59.71
_cell_angle_gamma 90.00
_space_group_name_H-M_alt 'P 1'
_space_group_IT_number 1
loop_
_space_group_symop_operation_xyz
'x,y,z'
loop_
_atom_site_label
_atom_site_type_symbol
_atom_site_fract_x
_atom_site_fract_y
_atom_site_fract_z
S1 S 0.8750 0.8035 0.7500
S2 S 0.5535 0.1250 0.2500
S3 S 0.1965 0.6250 0.2500
S4 S 0.3750 0.4465 0.7500
Se1 Se 0.7500 0.2500 0.5000
Se2 Se 0.0000 0.0000 0.0000
Be1 Be 0.5000 0.5000 0.0000
Be2 Be 0.2500 0.7500 0.5000
```

Output
ΔE_f (raw) in meV/atom: -39.3
Polymorph energy (0 for the lowest one) in meV/atom: 42.6
D(E_F) in states/eV/f.u.: 0.17

---

An optimized crystal structure of Be2SeS, computed with PBE-GGA.

CIF file:
```
data_Be2SeS
_chemical_formula_sum 'Be4 Se2 S2'
_cell_length_a 5.0275
_cell_length_b 5.0275
_cell_length_c 6.1552
_cell_angle_alpha 65.90
_cell_angle_beta 65.90
_cell_angle_gamma 90.00
_space_group_name_H-M_alt 'P 1'
_space_group_IT_number 1
loop_
_space_group_symop_operation_xyz
'x,y,z'
loop_
_atom_site_label
_atom_site_type_symbol
_atom_site_fract_x
_atom_site_fract_y
_atom_site_fract_z
Be1 Be 0.1439 0.6250 0.2500
Be2 Be 0.3750 0.3939 0.7500
Be3 Be 0.8750 0.8561 0.7500
Be4 Be 0.6061 0.1250 0.2500
S1 S 0.2500 0.7500 0.5000
S2 S 0.5000 0.5000 0.0000
Se1 Se 0.7500 0.2500 0.5000
Se2 Se 0.0000 0.0000 0.0000
```

Output
ΔE_f (raw) in meV/atom: -925.7
Polymorph energy (0 for the lowest one) in meV/atom: 0.0
D(E_F) in states/eV/f.u.: 0.00

---

An optimized crystal structure of BeSeS2, computed with PBE-GGA.

CIF file:
```
data_BeSeS2
_chemical_formula_sum 'Be1 Se1 S2'
_cell_length_a 4.4333
_cell_length_b 4.4333
_cell_length_c 4.4333
_cell_angle_alpha 60.00
_cell_angle_beta 60.00
_cell_angle_gamma 60.00
_space_group_name_H-M_alt 'P 1'
_space_group_IT_number 1
loop_
_space_group_symop_operation_xyz
'x,y,z'
loop_
_atom_site_label
_atom_site_type_symbol
_atom_site_fract_x
_atom_site_fract_y
_atom_site_fract_z
S1 S 0.7500 0.7500 0.7500
S2 S 0.2500 0.2500 0.2500
Be1 Be 0.0000 0.0000 0.0000
Se1 Se 0.5000 0.5000 0.5000
```

Output
ΔE_f (raw) in meV/atom: 788.4
Polymorph energy (0 for the lowest one) in meV/atom: 870.3
D(E_F) in states/eV/f.u.: 2.20

---

An optimized crystal structure of Tm6BeSe3S2, computed with PBE-GGA.

CIF file:
```
data_Tm6BeSe3S2
_chemical_formula_sum 'Tm6 Be1 Se3 S2'
_cell_length_a 6.8190
_cell_length_b 6.8190
_cell_length_c 6.9238
_cell_angle_alpha 99.41
_cell_angle_beta 99.41
_cell_angle_gamma 119.95
_space_group_name_H-M_alt 'P 1'
_space_group_IT_number 1
loop_
_space_group_symop_operation_xyz
'x,y,z'
loop_
_atom_site_label
_atom_site_type_symbol
_atom_site_fract_x
_atom_site_fract_y
_atom_site_fract_z
Se1 Se 0.5000 0.5000 0.5000
Se2 Se 0.8276 0.1724 0.5000
Se3 Se 0.1724 0.8276 0.5000
Tm1 Tm 0.6054 0.9248 0.7734
Tm2 Tm 0.2431 0.2431 0.7715
Tm3 Tm 0.9248 0.6054 0.7734
Tm4 Tm 0.3946 0.0752 0.2266
Tm5 Tm 0.0752 0.3946 0.2266
Tm6 Tm 0.7569 0.7569 0.2285
S1 S 0.6657 0.3343 0.0000
S2 S 0.3343 0.6657 0.0000
Be1 Be 0.0000 0.0000 0.0000
```

Output
ΔE_f (raw) in meV/atom: -1532.0
D(E_F) in states/eV/f.u.: 3.14

---

An optimized crystal structure of Tm4BeSeS2, computed with PBE-GGA.

CIF file:
```
data_Tm4BeSeS2
_chemical_formula_sum 'Tm4 Be1 Se1 S2'
_cell_length_a 3.8154
_cell_length_b 6.8204
_cell_length_c 6.8755
_cell_angle_alpha 71.68
_cell_angle_beta 90.00
_cell_angle_gamma 90.00
_space_group_name_H-M_alt 'P 1'
_space_group_IT_number 1
loop_
_space_group_symop_operation_xyz
'x,y,z'
loop_
_atom_site_label
_atom_site_type_symbol
_atom_site_fract_x
_atom_site_fract_y
_atom_site_fract_z
Tm1 Tm 0.0000 0.7524 0.7333
Tm2 Tm 0.5000 0.2553 0.7387
Tm3 Tm 0.0000 0.2476 0.2667
Tm4 Tm 0.5000 0.7447 0.2613
S1 S 0.5000 0.0000 0.5000
S2 S 0.0000 0.0000 0.0000
Se1 Se 0.5000 0.5000 0.0000
Be1 Be 0.0000 0.5000 0.5000
```

Output
ΔE_f (raw) in meV/atom: -1375.2
D(E_F) in states/eV/f.u.: 2.70

---

An optimized crystal structure of Tm4BeSe2S, computed with PBE-GGA.

CIF file:
```
data_Tm4BeSe2S
_chemical_formula_sum 'Tm4 Be1 Se2 S1'
_cell_length_a 3.8530
_cell_length_b 6.9717
_cell_length_c 6.8929
_cell_angle_alpha 71.76
_cell_angle_beta 90.00
_cell_angle_gamma 90.00
_space_group_name_H-M_alt 'P 1'
_space_group_IT_number 1
loop_
_space_group_symop_operation_xyz
'x,y,z'
loop_
_atom_site_label
_atom_site_type_symbol
_atom_site_fract_x
_atom_site_fract_y
_atom_site_fract_z
S1 S 0.5000 0.5000 0.0000
Se1 Se 0.0000 0.0000 0.0000
Se2 Se 0.5000 0.0000 0.5000
Be1 Be 0.0000 0.5000 0.5000
Tm1 Tm 0.0000 0.2711 0.2525
Tm2 Tm 0.5000 0.2701 0.7356
Tm3 Tm 0.5000 0.7299 0.2644
Tm4 Tm 0.0000 0.7289 0.7475
```

Output
ΔE_f (raw) in meV/atom: -1338.5
D(E_F) in states/eV/f.u.: 2.89

---

An optimized crystal structure of Y4BeSe2S, computed with PBE-GGA.

CIF file:
```
data_Y4BeSe2S
_chemical_formula_sum 'Y4 Be1 Se2 S1'
_cell_length_a 3.9322
_cell_length_b 7.0730
_cell_length_c 7.0051
_cell_angle_alpha 71.63
_cell_angle_beta 90.00
_cell_angle_gamma 90.00
_space_group_name_H-M_alt 'P 1'
_space_group_IT_number 1
loop_
_space_group_symop_operation_xyz
'x,y,z'
loop_
_atom_site_label
_atom_site_type_symbol
_atom_site_fract_x
_atom_site_fract_y
_atom_site_fract_z
Y1 Y 0.5000 0.2670 0.7387
Y2 Y 0.0000 0.2687 0.2510
Y3 Y 0.5000 0.7330 0.2613
Y4 Y 0.0000 0.7313 0.7489
S1 S 0.5000 0.5000 0.0000
Be1 Be 0.0000 0.5000 0.5000
Se1 Se 0.0000 0.0000 0.0000
Se2 Se 0.5000 0.0000 0.5000
```

Output
ΔE_f (raw) in meV/atom: -1398.1
D(E_F) in states/eV/f.u.: 3.22

---

An optimized crystal structure of ZrBe2SeS, computed with PBE-GGA.

CIF file:
```
data_ZrBe2SeS
_chemical_formula_sum 'Zr1 Be2 Se1 S1'
_cell_length_a 4.0149
_cell_length_b 5.0983
_cell_length_c 4.0149
_cell_angle_alpha 90.00
_cell_angle_beta 90.00
_cell_angle_gamma 90.00
_space_group_name_H-M_alt 'P 1'
_space_group_IT_number 1
loop_
_space_group_symop_operation_xyz
'x,y,z'
loop_
_atom_site_label
_atom_site_type_symbol
_atom_site_fract_x
_atom_site_fract_y
_atom_site_fract_z
Se1 Se 0.5000 0.5000 0.5000
Be1 Be 0.5000 0.0000 0.0000
Be2 Be 0.0000 0.0000 0.5000
Zr1 Zr 0.0000 0.5000 0.0000
S1 S 0.0000 0.0000 0.0000
```

Output
ΔE_f (raw) in meV/atom: 63.6
D(E_F) in states/eV/f.u.: 3.54